[1]
Density functional theory data (PBE) for AcZn2Au after structural relaxation.

Space group: Immm (71)
Formation energy (kJ/mol of atoms): -46
M_tot (μB/f.u.): 0.00
Density (Mg/m³): 9.84
Calculated total energy (Ry/atom): -0.2172

Unit cell a=9.944 b=9.944 c=9.944 alpha=152.79 beta=122.80 gamma=64.47
Positions (direct):
Ac 0.208 0.208 0.000
Ac 0.259 0.000 0.259
Ac 0.741 0.000 0.741
Ac 0.792 0.792 0.000
Zn 0.072 0.572 0.500
Zn 0.177 0.814 0.363
Zn 0.417 0.417 0.000
Zn 0.451 0.814 0.637
Zn 0.549 0.186 0.363
Zn 0.583 0.583 0.000
Zn 0.823 0.186 0.637
Zn 0.928 0.428 0.500
Au 0.091 0.351 0.740
Au 0.390 0.649 0.740
Au 0.610 0.351 0.260
Au 0.909 0.649 0.260



[2]
Density functional theory data (PBE) for Ac2ZnAu7 after structural relaxation.

Space group: P-4m2 (115)
Formation energy (kJ/mol of atoms): -52
M_tot (μB/f.u.): 0.00
Density (Mg/m³): 13.52
Calculated total energy (Ry/atom): -0.2777

Unit cell a=4.220 b=4.220 c=13.090 alpha=90.00 beta=90.00 gamma=90.00
Positions (direct):
Ac 0.000 0.500 0.247
Ac 0.500 0.000 0.753
Zn 0.000 0.000 0.500
Au 0.000 0.000 0.000
Au 0.000 0.500 0.640
Au 0.000 0.500 0.853
Au 0.500 0.000 0.147
Au 0.500 0.000 0.360
Au 0.500 0.500 0.000
Au 0.500 0.500 0.500



[3]
Density functional theory data (PBE) for AcZn2Au6 after structural relaxation.

Space group: P6/mmm (191)
Formation energy (kJ/mol of atoms): -29
M_tot (μB/f.u.): 0.00
Density (Mg/m³): 12.29
Calculated total energy (Ry/atom): -0.2369

Unit cell a=5.774 b=5.774 c=7.203 alpha=90.00 beta=90.00 gamma=120.00
Positions (direct):
Ac 0.000 0.000 0.000
Zn 0.333 0.667 0.500
Zn 0.667 0.333 0.500
Au 0.000 0.500 0.212
Au 0.000 0.500 0.788
Au 0.500 0.000 0.212
Au 0.500 0.000 0.788
Au 0.500 0.500 0.212
Au 0.500 0.500 0.788



[4]
Density functional theory data (PBE) for AcZnAu2 after structural relaxation.

Space group: P4/mmm (123)
Formation energy (kJ/mol of atoms): -40
M_tot (μB/f.u.): 0.00
Density (Mg/m³): 11.48
Calculated total energy (Ry/atom): -0.2495

Unit cell a=4.839 b=4.839 c=4.241 alpha=90.00 beta=90.00 gamma=90.00
Positions (direct):
Ac 0.000 0.000 0.000
Zn 0.500 0.500 0.000
Au 0.000 0.500 0.500
Au 0.500 0.000 0.500



[5]
Density functional theory data (PBE) for AcZn2Au after structural relaxation.

Space group: P4/mmm (123)
Formation energy (kJ/mol of atoms): -21
M_tot (μB/f.u.): 0.00
Density (Mg/m³): 10.15
Calculated total energy (Ry/atom): -0.1985

Unit cell a=3.615 b=3.615 c=6.949 alpha=90.00 beta=90.00 gamma=90.00
Positions (direct):
Ac 0.000 0.000 0.000
Zn 0.500 0.500 0.313
Zn 0.500 0.500 0.687
Au 0.000 0.000 0.500



[6]
Density functional theory data (PBE) for AcZn8Au2 after structural relaxation.

Space group: P4/mmm (123)
Formation energy (kJ/mol of atoms): 7
M_tot (μB/f.u.): 0.00
Density (Mg/m³): 7.34
Calculated total energy (Ry/atom): -0.1344

Unit cell a=5.255 b=5.255 c=9.376 alpha=90.00 beta=90.00 gamma=90.00
Positions (direct):
Ac 0.000 0.000 0.000
Zn 0.252 0.252 0.288
Zn 0.252 0.252 0.712
Zn 0.252 0.748 0.288
Zn 0.252 0.748 0.712
Zn 0.748 0.252 0.288
Zn 0.748 0.252 0.712
Zn 0.748 0.748 0.288
Zn 0.748 0.748 0.712
Au 0.000 0.500 0.500
Au 0.500 0.000 0.500



[7]
Density functional theory data (PBE) for AcZn3Au4 after structural relaxation.

Space group: P4/mmm (123)
Formation energy (kJ/mol of atoms): -38
M_tot (μB/f.u.): 0.00
Density (Mg/m³): 11.75
Calculated total energy (Ry/atom): -0.2222

Unit cell a=4.722 b=4.722 c=7.675 alpha=90.00 beta=90.00 gamma=90.00
Positions (direct):
Ac 0.000 0.000 0.000
Zn 0.000 0.000 0.500
Zn 0.500 0.500 0.165
Zn 0.500 0.500 0.835
Au 0.000 0.500 0.312
Au 0.000 0.500 0.688
Au 0.500 0.000 0.312
Au 0.500 0.000 0.688



[8]
Density functional theory data (PBE) for AcZn9Au2 after structural relaxation.

Space group: P6/mmm (191)
Formation energy (kJ/mol of atoms): -13
M_tot (μB/f.u.): 0.00
Density (Mg/m³): 8.75
Calculated total energy (Ry/atom): -0.1457

Unit cell a=8.573 b=8.573 c=3.607 alpha=90.00 beta=90.00 gamma=120.00
Positions (direct):
Ac 0.000 0.000 0.000
Zn 0.000 0.500 0.000
Zn 0.191 0.381 0.500
Zn 0.191 0.809 0.500
Zn 0.381 0.191 0.500
Zn 0.500 0.000 0.000
Zn 0.500 0.500 0.000
Zn 0.619 0.809 0.500
Zn 0.809 0.191 0.500
Zn 0.809 0.619 0.500
Au 0.333 0.667 0.000
Au 0.667 0.333 0.000



[9]
Density functional theory data (PBE) for AcZn6Au6 after structural relaxation.

Space group: Immm (71)
Formation energy (kJ/mol of atoms): -33
M_tot (μB/f.u.): 0.00
Density (Mg/m³): 12.64
Calculated total energy (Ry/atom): -0.2027

Unit cell a=7.196 b=7.196 c=7.196 alpha=136.85 beta=100.38 gamma=95.18
Positions (direct):
Ac 0.000 0.000 0.000
Zn 0.000 0.000 0.500
Zn 0.000 0.500 0.000
Zn 0.245 0.500 0.745
Zn 0.500 0.000 0.000
Zn 0.500 0.500 0.500
Zn 0.755 0.500 0.255
Au 0.189 0.689 0.500
Au 0.341 0.000 0.341
Au 0.346 0.346 0.000
Au 0.654 0.654 0.000
Au 0.659 0.000 0.659
Au 0.811 0.311 0.500



[10]
Density functional theory data (PBE) for Ac3Zn2Au after structural relaxation.

Space group: P4/mmm (123)
Formation energy (kJ/mol of atoms): -41
M_tot (μB/f.u.): 0.00
Density (Mg/m³): 9.32
Calculated total energy (Ry/atom): -0.2536

Unit cell a=3.927 b=3.927 c=11.659 alpha=90.00 beta=90.00 gamma=90.00
Positions (direct):
Ac 0.000 0.000 0.000
Ac 0.000 0.000 0.334
Ac 0.000 0.000 0.666
Zn 0.500 0.500 0.162
Zn 0.500 0.500 0.838
Au 0.500 0.500 0.500



[11]
Density functional theory data (PBE) for AcZn4Au2 after structural relaxation.

Space group: P4_2/mnm (136)
Formation energy (kJ/mol of atoms): -40
M_tot (μB/f.u.): 0.00
Density (Mg/m³): 10.53
Calculated total energy (Ry/atom): -0.1962

Unit cell a=7.964 b=7.964 c=4.390 alpha=90.00 beta=90.00 gamma=90.00
Positions (direct):
Ac 0.000 0.000 0.000
Ac 0.500 0.500 0.500
Zn 0.088 0.351 0.500
Zn 0.149 0.588 0.000
Zn 0.351 0.088 0.500
Zn 0.412 0.851 0.000
Zn 0.588 0.149 0.000
Zn 0.649 0.912 0.500
Zn 0.851 0.412 0.000
Zn 0.912 0.649 0.500
Au 0.215 0.785 0.500
Au 0.285 0.285 0.000
Au 0.715 0.715 0.000
Au 0.785 0.215 0.500



[12]
Density functional theory data (PBE) for Ac2ZnAu after structural relaxation.

Space group: P4/mmm (123)
Formation energy (kJ/mol of atoms): -50
M_tot (μB/f.u.): 0.00
Density (Mg/m³): 9.91
Calculated total energy (Ry/atom): -0.2724

Unit cell a=3.920 b=3.920 c=7.808 alpha=90.00 beta=90.00 gamma=90.00
Positions (direct):
Ac 0.000 0.000 0.248
Ac 0.000 0.000 0.752
Zn 0.500 0.500 0.500
Au 0.500 0.500 0.000



[13]
Density functional theory data (PBE) for AcZn3Au after structural relaxation.

Space group: P1 (1)
Formation energy (kJ/mol of atoms): -42
M_tot (μB/f.u.): 0.00
Density (Mg/m³): 9.50
Calculated total energy (Ry/atom): -0.1967

Unit cell a=4.417 b=4.435 c=6.349 alpha=110.27 beta=109.94 gamma=90.78
Positions (direct):
Ac 0.000 0.000 0.000
Zn 0.245 0.746 0.492
Zn 0.624 0.624 0.248
Zn 0.746 0.247 0.491
Au 0.384 0.385 0.769



[14]
Density functional theory data (PBE) for AcZnAu after structural relaxation.

Space group: I4mm (107)
Formation energy (kJ/mol of atoms): -42
M_tot (μB/f.u.): 0.00
Density (Mg/m³): 10.59
Calculated total energy (Ry/atom): -0.2440

Unit cell a=5.841 b=5.841 c=5.841 alpha=141.48 beta=141.48 gamma=55.62
Positions (direct):
Ac 0.000 0.000 0.000
Zn 0.309 0.309 0.000
Au 0.686 0.686 0.000



[15]
Density functional theory data (PBE) for AcZn9Au2 after structural relaxation.

Space group: I4_1/amd (141)
Formation energy (kJ/mol of atoms): -30
M_tot (μB/f.u.): 0.00
Density (Mg/m³): 9.56
Calculated total energy (Ry/atom): -0.1581

Unit cell a=8.501 b=8.501 c=8.501 alpha=99.76 beta=99.76 gamma=131.37
Positions (direct):
Ac 0.375 0.625 0.750
Ac 0.625 0.375 0.250
Zn 0.125 0.875 0.250
Zn 0.135 0.554 0.335
Zn 0.135 0.800 0.581
Zn 0.200 0.281 0.335
Zn 0.200 0.865 0.919
Zn 0.281 0.200 0.835
Zn 0.281 0.446 0.081
Zn 0.446 0.281 0.581
Zn 0.446 0.865 0.165
Zn 0.554 0.135 0.835
Zn 0.554 0.719 0.419
Zn 0.719 0.554 0.919
Zn 0.719 0.800 0.165
Zn 0.800 0.135 0.081
Zn 0.800 0.719 0.665
Zn 0.865 0.200 0.419
Zn 0.865 0.446 0.665
Zn 0.875 0.125 0.750
Au 0.000 0.000 0.000
Au 0.000 0.000 0.500
Au 0.000 0.500 0.000
Au 0.500 0.000 0.500



[16]
Density functional theory data (PBE) for Ac2Zn2Au15 after structural relaxation.

Space group: R-3m (166)
Formation energy (kJ/mol of atoms): -32
M_tot (μB/f.u.): 0.00
Density (Mg/m³): 14.99
Calculated total energy (Ry/atom): -0.2558

Unit cell a=7.391 b=7.391 c=7.391 alpha=81.68 beta=81.68 gamma=81.68
Positions (direct):
Ac 0.158 0.158 0.158
Ac 0.842 0.842 0.842
Zn 0.402 0.402 0.402
Zn 0.598 0.598 0.598
Au 0.000 0.500 0.500
Au 0.146 0.146 0.656
Au 0.146 0.656 0.146
Au 0.199 0.500 0.801
Au 0.199 0.801 0.500
Au 0.344 0.854 0.854
Au 0.500 0.000 0.500
Au 0.500 0.199 0.801
Au 0.500 0.500 0.000
Au 0.500 0.801 0.199
Au 0.656 0.146 0.146
Au 0.801 0.199 0.500
Au 0.801 0.500 0.199
Au 0.854 0.344 0.854
Au 0.854 0.854 0.344



[17]
Density functional theory data (PBE) for AcZnAu2 after structural relaxation.

Space group: Pnma (62)
Formation energy (kJ/mol of atoms): -61
M_tot (μB/f.u.): 0.00
Density (Mg/m³): 12.32
Calculated total energy (Ry/atom): -0.2657

Unit cell a=8.242 b=7.407 c=6.060 alpha=90.00 beta=90.00 gamma=90.00
Positions (direct):
Ac 0.039 0.250 0.146
Ac 0.461 0.750 0.646
Ac 0.539 0.250 0.354
Ac 0.961 0.750 0.854
Zn 0.117 0.750 0.358
Zn 0.383 0.250 0.858
Zn 0.617 0.750 0.142
Zn 0.883 0.250 0.642
Au 0.182 0.056 0.593
Au 0.182 0.444 0.593
Au 0.318 0.556 0.093
Au 0.318 0.944 0.093
Au 0.682 0.056 0.907
Au 0.682 0.444 0.907
Au 0.818 0.556 0.407
Au 0.818 0.944 0.407



[18]
Density functional theory data (PBE) for Ac2Zn2Au after structural relaxation.

Space group: C2/m (12)
Formation energy (kJ/mol of atoms): -45
M_tot (μB/f.u.): 0.00
Density (Mg/m³): 9.32
Calculated total energy (Ry/atom): -0.2407

Unit cell a=6.116 b=6.116 c=11.784 alpha=115.63 beta=115.63 gamma=45.73
Positions (direct):
Ac 0.047 0.047 0.350
Ac 0.199 0.199 0.110
Ac 0.801 0.801 0.890
Ac 0.953 0.953 0.650
Zn 0.372 0.372 0.424
Zn 0.491 0.491 0.111
Zn 0.509 0.509 0.889
Zn 0.628 0.628 0.576
Au 0.256 0.256 0.672
Au 0.744 0.744 0.328



[19]
Density functional theory data (PBE) for Ac2ZnAu6 after structural relaxation.

Space group: P-3m1 (164)
Formation energy (kJ/mol of atoms): -60
M_tot (μB/f.u.): 0.00
Density (Mg/m³): 13.46
Calculated total energy (Ry/atom): -0.2839

Unit cell a=6.516 b=6.516 c=5.707 alpha=90.00 beta=90.00 gamma=120.00
Positions (direct):
Ac 0.333 0.667 0.181
Ac 0.667 0.333 0.819
Zn 0.000 0.000 0.000
Au 0.178 0.356 0.691
Au 0.178 0.822 0.691
Au 0.356 0.178 0.309
Au 0.644 0.822 0.691
Au 0.822 0.178 0.309
Au 0.822 0.644 0.309



[20]
Density functional theory data (PBE) for AcZn4Au after structural relaxation.

Space group: F-43m (216)
Formation energy (kJ/mol of atoms): -17
M_tot (μB/f.u.): 0.00
Density (Mg/m³): 9.33
Calculated total energy (Ry/atom): -0.1656

Unit cell a=5.567 b=5.567 c=5.567 alpha=60.00 beta=60.00 gamma=60.00
Positions (direct):
Ac 0.000 0.000 0.000
Zn 0.134 0.622 0.622
Zn 0.622 0.134 0.622
Zn 0.622 0.622 0.134
Zn 0.622 0.622 0.622
Au 0.250 0.250 0.250